Record 1
# AlGaCo

An optimized crystal structure of AlGaCo (PBE, Alexandria via LeMat-Bulk).

## Properties
**Energy of formation**: -0.159 eV/atom
**Symmetry**: No. 156
**DFT total energy**: -4.784 eV per atom

a = 2.819 Å, b = 4.077 Å, c = 4.077 Å
α = 120.00°, β = 90.00°, γ = 90.00°
Element x y z (fractional)
Co  0.168  0.333  0.667
Al  0.667  0.667  0.333
Ga  0.166  0.000  0.000

***

Record 2
# TbSmIrCl

An optimized crystal structure of TbSmIrCl (PBE, Alexandria via LeMat-Bulk).

## Properties
**Uncorrected formation energy**: -1.177 eV per atom
**Symmetry**: No. 160
**DFT total energy**: -6.192 eV per atom

a = 4.052 Å, b = 4.050 Å, c = 7.909 Å
α = 90.03°, β = 104.82°, γ = 120.01°
Element x y z (fractional)
Tb  0.103  0.949  0.068
Sm  0.506  0.151  0.673
Ir  0.307  0.551  0.874
Cl  0.962  0.380  0.355

***

Record 3
# Rb2LiBeN

An optimized crystal structure of Rb2LiBeN (PBE, Alexandria via LeMat-Bulk).

## Properties
**Uncorrected formation energy**: 1.452 eV per atom
**Symmetry**: No. 123
**DFT total energy**: -1.728 eV per atom

a = 6.099 Å, b = 4.618 Å, c = 6.099 Å
α = 90.00°, β = 90.00°, γ = 90.00°
Last column: magnetic moment on the atom in μB.
Element x y z (fractional)
Be  0.000  0.500  0.000  0.21
Li  0.000  0.000  0.000  0.17
Rb  0.000  0.000  0.500  0.02
Rb  0.500  0.000  0.000  0.03
N  0.500  0.500  0.500  -0.15

***

Record 4
# MgNi3H

An optimized crystal structure of MgNi3H (PBE, Alexandria via LeMat-Bulk).

## Properties
**ΔE to the lowest computed polymorph**: 197 meV/atom
**Symmetry**: No. 227
**DFT total energy**: -4.417 eV per atom

a = 6.844 Å, b = 6.844 Å, c = 6.844 Å
α = 60.00°, β = 60.00°, γ = 60.00°
Element x y z (fractional)
Ni  0.817  0.183  0.183
Ni  0.067  0.433  0.433
Ni  0.433  0.433  0.067
Ni  0.433  0.067  0.067
Ni  0.067  0.433  0.067
Ni  0.817  0.183  0.817
Ni  0.433  0.067  0.433
Ni  0.067  0.067  0.433
Ni  0.183  0.817  0.183
Ni  0.183  0.817  0.817
Ni  0.183  0.183  0.817
Ni  0.817  0.817  0.183
Mg  0.625  0.625  0.625
Mg  0.625  0.125  0.625
Mg  0.125  0.625  0.625
Mg  0.625  0.625  0.125
H  0.125  0.125  0.125
H  0.125  0.625  0.125
H  0.625  0.125  0.125
H  0.125  0.125  0.625